1.
# HgTeCl2

An optimized crystal structure of HgTeCl2 (GGA-PBE, Alexandria).

Structure (POSCAR):
```
HgTeCl2
1.0
12.481 0.000 0.000
0.000 3.768 0.000
-4.046 0.000 6.307
Hg Te Cl
2 2 4
Cartesian
0.000 0.000 0.000 Hg
6.240 1.884 0.000 Hg
-2.023 1.884 3.153 Te
4.217 0.000 3.153 Te
-0.493 0.000 4.208 Cl
2.687 1.884 2.098 Cl
5.747 1.884 4.208 Cl
8.928 0.000 2.098 Cl
```

energy above the most stable polymorph in this dataset = 125 meV/atom
size of the total moment = 0.0 μB/f.u.

---

2.
# Li2CuSe2

An optimized crystal structure of Li2CuSe2 (GGA-PBE, Alexandria).

Structure (POSCAR):
```
Li2CuSe2
1.0
6.781 0.000 0.000
0.000 6.781 0.000
0.000 0.000 3.870
Li Cu Se
4 2 4
Cartesian
0.962 2.428 0.000 Li
2.428 5.819 0.000 Li
4.353 0.962 0.000 Li
5.819 4.353 0.000 Li
0.000 0.000 1.935 Cu
3.391 3.391 1.935 Cu
1.166 4.556 1.935 Se
2.225 1.166 1.935 Se
4.556 5.616 1.935 Se
5.616 2.225 1.935 Se
```

calculated total energy = -36.2 eV for the cell shown
size of the total moment = 0.0 μB/f.u.

---

3.
# SmLuMnIn

An optimized crystal structure of SmLuMnIn (GGA-PBE, Alexandria).

Structure (POSCAR):
```
SmLuMnIn
1.0
7.352 0.000 0.000
0.000 7.352 0.000
0.000 0.000 7.352
Sm Lu Mn In
4 4 4 4
Cartesian
0.000 0.000 0.000 Sm
0.000 3.676 3.676 Sm
3.676 0.000 3.676 Sm
3.676 3.676 0.000 Sm
0.000 0.000 3.676 Lu
0.000 3.676 0.000 Lu
3.676 0.000 0.000 Lu
3.676 3.676 3.676 Lu
1.838 1.838 5.514 Mn
1.838 5.514 1.838 Mn
5.514 1.838 1.838 Mn
5.514 5.514 5.514 Mn
1.838 1.838 1.838 In
1.838 5.514 5.514 In
5.514 1.838 5.514 In
5.514 5.514 1.838 In
```

size of the total moment = 3.4 μB/f.u.
formation enthalpy at 0 K = -82 meV/atom

---

4.
# U4Ga6Os7

An optimized crystal structure of U4Ga6Os7 (GGA-PBE, Alexandria).

Structure (POSCAR):
```
U4Ga6Os7
1.0
-4.162 4.162 4.162
4.162 -4.162 4.162
4.162 4.162 -4.162
U Ga Os
4 6 7
Cartesian
2.081 2.081 -2.081 U
2.081 -2.081 2.081 U
-2.081 2.081 2.081 U
2.081 2.081 2.081 U
2.534 0.000 0.000 Ga
5.789 0.000 0.000 Ga
0.000 2.534 0.000 Ga
0.000 0.000 2.534 Ga
0.000 5.789 0.000 Ga
0.000 0.000 5.789 Ga
0.000 0.000 0.000 Os
4.162 2.081 0.000 Os
4.162 0.000 2.081 Os
2.081 4.162 0.000 Os
2.081 0.000 4.162 Os
0.000 4.162 2.081 Os
0.000 2.081 4.162 Os
```

size of the total moment = 2.3 μB/f.u.
formation enthalpy at 0 K = -282 meV/atom